Below is a relaxed structure of La2YCo, with properties calculated at the PBE level.

The structure in POSCAR format:
```
La2YCo
1.0
-6.3489 -0.7931 -0.7694
-2.0812 -6.0707 -0.5872
2.9649 4.3717 3.6914
Co La Y
1 2 1
Direct
0.2479 0.7479 0.5000
0.0692 0.0692 0.0000
0.7487 0.2487 0.5000
0.4342 0.4342 0.0000
```

**ΔH_f (0 K)**: 0.00 eV per atom
**Total energy**: -23.4 eV per formula unit
**Offset from the most stable computed form**: 107.9 meV per atom
**Space group**: Imm2, No. 44

***

Below is a relaxed structure of Tl2CdPt, with properties calculated at the PBE level.

The structure in POSCAR format:
```
Tl2CdPt
1.0
-0.5826 0.8087 5.2600
-5.2967 -0.0642 0.7761
3.0538 -3.6124 -2.5073
Tl Pt Cd
2 1 1
Direct
0.0000 0.0000 0.0000
0.5000 0.5000 0.0000
0.7500 0.2500 0.5000
0.2500 0.7500 0.5000
```

**ΔH_f (0 K)**: 0.12 eV per atom
**Total energy**: -11.2 eV per formula unit
**Offset from the most stable computed form**: 200.1 meV per atom
**Space group**: I4/mmm, No. 139